No. 1
Material: Cs2LiInF6
Method: DFT, PBE
State: relaxed

Output
Total DFT energy (no corrections), eV per formula unit: -44.99
Space-group type: Fm-3m (225)

Cell lengths 6.2424, 6.2424, 6.2424 Å; angles 60.00, 60.00, 60.00 degrees
Closest atoms and distances in Å follow each position.
Fractional coordinates of all 10 atoms:
F: 0.2418 0.7582 0.7582  1 In 2.13, 1 Li 2.28
F: 0.2418 0.7582 0.2418  1 In 2.13, 1 Li 2.28
F: 0.2418 0.2418 0.7582  1 In 2.13, 1 Li 2.28
F: 0.7582 0.7582 0.2418  1 In 2.13, 1 Li 2.28
F: 0.7582 0.2418 0.2418  1 In 2.13, 1 Li 2.28
F: 0.7582 0.2418 0.7582  1 In 2.13, 1 Li 2.28
Cs: 0.2500 0.2500 0.2500  12 F 3.12
Cs: 0.7500 0.7500 0.7500  12 F 3.12
In: 0.0000 0.0000 0.0000  6 F 2.13
Li: 0.5000 0.5000 0.5000  6 F 2.28

=====

No. 2
Material: Rb2LaCF6
Method: DFT, PBE
State: relaxed

Output
Total DFT energy (no corrections), eV per formula unit: -50.06
Space-group type: I4/mmm (139)

Cell lengths 6.0991, 6.0991, 6.9895 Å; angles 64.13, 64.13, 90.00 degrees
Closest atoms and distances in Å follow each position.
Fractional coordinates of all 10 atoms:
Rb: 0.7500 0.2500 0.5000  4 F 3.08
Rb: 0.2500 0.7500 0.5000  4 F 3.08
F: 0.7323 0.7323 0.0000  1 C 2.00
F: 0.2677 0.7323 0.0000  1 C 2.00
F: 0.2095 0.2095 0.5810  1 La 2.30
F: 0.2677 0.2677 0.0000  1 C 2.00
F: 0.7905 0.7905 0.4190  1 La 2.30
F: 0.7323 0.2677 0.0000  1 C 2.00
La: 0.0000 0.0000 0.0000  6 F 2.30-2.31
C: 0.5000 0.5000 0.0000  4 F 2.00

=====

No. 3
Material: InMo2Cl
Method: DFT, PBE
State: relaxed

Output
Total DFT energy (no corrections), eV per formula unit: -23.26
Space-group type: P4/mmm (123)

Cell lengths 3.0596, 3.0596, 7.0508 Å; angles 90.00, 90.00, 90.00 degrees
Closest atoms and distances in Å follow each position.
Fractional coordinates of all 4 atoms:
In: 0.5000 0.5000 0.7500  8 Mo 2.97, 4 In 3.06
Cl: 0.5000 0.5000 0.2500  8 Mo 2.62
Mo: 0.0000 0.0000 0.4607  4 Cl 2.62
Mo: 0.0000 0.0000 0.0393  4 Cl 2.62

=====

No. 4
Material: CsNaNp2Cl8
Method: DFT, PBE
State: relaxed

Output
Total DFT energy (no corrections), eV per formula unit: -63.88
Space-group type: P-1 (2)

Cell lengths 7.1323, 6.9299, 8.7156 Å; angles 89.14, 90.30, 85.20 degrees
Closest atoms and distances in Å follow each position.
Fractional coordinates of all 12 atoms:
Cs: 0.0000 0.0000 0.5000  6 Cl 3.29-3.53
Na: 0.0000 0.0000 0.0000  4 Cl 2.83-2.85
Np: 0.4995 0.4994 0.2417  6 Cl 2.68-2.82
Np: 0.5005 0.5006 0.7583  6 Cl 2.68-2.82
Cl: 0.6440 0.7057 0.9992  2 Np 2.78-2.79
Cl: 0.3560 0.2943 0.0008  2 Np 2.78-2.79
Cl: 0.3761 0.3007 0.5024  2 Np 2.82
Cl: 0.6239 0.6993 0.4976  2 Np 2.82
Cl: 0.8154 0.2620 0.7822  1 Np 2.68, 1 Na 2.85
Cl: 0.1846 0.7380 0.2178  1 Np 2.68, 1 Na 2.85
Cl: 0.8088 0.2549 0.2090  1 Np 2.69, 1 Na 2.83
Cl: 0.1912 0.7451 0.7910  1 Np 2.69, 1 Na 2.83

=====

Number 1: uncorrected formation energy -27.41 eV/f.u.. Number 2: uncorrected formation energy -22.75 eV/f.u.. Number 3: uncorrected formation energy 2.99 eV/f.u.. Number 4: uncorrected formation energy -21.05 eV/f.u..